Compound: Li2DyThAu4
Source: Alexandria via LeMat-Bulk
Functional: PBE
Structure: optimized geometry

The space group is R-3m (No. 166, hexagonal axes) and the conventional cell measures 4.6068, 4.6068 and 27.4608 Å, with angles of 90.00, 90.00 and 120.00 degrees. The distinct sites, in fractional coordinates, are Li at (0.0000, 0.0000, 0.2445), Dy at (0.0000, 0.0000, 0.5000), Th at (0.0000, 0.0000, 0.0000), Au at (0.0000, 0.0000, 0.1134) and Au at (0.0000, 0.0000, 0.3906).

Compound: YCu2Ag
Source: Alexandria via LeMat-Bulk
Functional: PBE
Structure: optimized geometry

The space group is F-43m (No. 216) and the conventional cell measures 6.6249, 6.6249 and 6.6249 Å, with angles of 90.00, 90.00 and 90.00 degrees. The distinct sites, in fractional coordinates, are Y at (0.0000, 0.0000, 0.0000), Cu at (0.0000, 0.0000, 0.5000), Cu at (0.2500, 0.2500, 0.2500) and Ag at (0.2500, 0.2500, 0.7500).

Compound: RbMgCr3
Source: Alexandria via LeMat-Bulk
Functional: PBE
Structure: optimized geometry

The space group is Pm-3m (No. 221) and the conventional cell measures 5.4170, 5.4170 and 5.4170 Å, with angles of 90.00, 90.00 and 90.00 degrees. The distinct sites, in fractional coordinates, are Rb at (0.0000, 0.0000, 0.0000), Mg at (0.5000, 0.5000, 0.5000) and Cr at (0.0000, 0.5000, 0.5000).

Number 1: total energy -4.30 eV/atom, formation energy -525 kJ/mol of formula units. Number 2: total energy -4.44 eV/atom, formation energy -25 kJ/mol of formula units. Number 3: total energy -4.81 eV/atom, formation energy 714 kJ/mol of formula units.